This record from Alexandria via LeMat-Bulk describes a relaxed KRb4As4 crystal. The functional is PBE-GGA.

Properties
space-group type	P4_2/n (86)
DFT formation energy	-293	meV/atom

Cell and atoms, written as POSCAR:
```
KRb4As4
1.0
10.557 0.000 0.000
0.000 10.557 0.000
0.000 0.000 6.944
K Rb As
2 8 8
Direct
0.250 0.250 0.250
0.750 0.750 0.750
0.059 0.669 0.095
0.169 0.941 0.595
0.331 0.559 0.595
0.441 0.831 0.095
0.559 0.169 0.905
0.669 0.441 0.405
0.831 0.059 0.405
0.941 0.331 0.905
0.000 0.402 0.416
0.000 0.598 0.584
0.098 0.000 0.084
0.402 0.500 0.084
0.500 0.098 0.416
0.500 0.902 0.584
0.598 0.500 0.916
0.902 0.000 0.916
```

=====

This record from Alexandria via LeMat-Bulk describes a relaxed K2RbAs2 crystal. The functional is PBE-GGA.

Properties
space-group type	I4/mmm (139)
DFT formation energy	-289	meV/atom
polymorph energy (0 for the lowest one)	0.051	eV/atom

Cell and atoms, written as POSCAR:
```
K2RbAs2
1.0
5.368 0.000 0.000
0.000 5.368 0.000
0.000 0.000 13.112
K Rb As
4 2 4
Direct
0.000 0.500 0.250
0.000 0.500 0.750
0.500 0.000 0.250
0.500 0.000 0.750
0.000 0.000 0.000
0.500 0.500 0.500
0.000 0.000 0.408
0.000 0.000 0.592
0.500 0.500 0.092
0.500 0.500 0.908
```

=====

This record from Alexandria via LeMat-Bulk describes a relaxed KRb2As2 crystal. The functional is PBE-GGA.

Properties
space-group type	I4/mmm (139)
DFT formation energy	-213	meV/atom
polymorph energy (0 for the lowest one)	0.123	eV/atom

Cell and atoms, written as POSCAR:
```
KRb2As2
1.0
5.396 0.000 0.000
0.000 5.396 0.000
0.000 0.000 13.861
K Rb As
2 4 4
Direct
0.000 0.000 0.000
0.500 0.500 0.500
0.000 0.500 0.250
0.000 0.500 0.750
0.500 0.000 0.250
0.500 0.000 0.750
0.000 0.000 0.413
0.000 0.000 0.587
0.500 0.500 0.087
0.500 0.500 0.913
```

=====

Question: The lowest DFT formation energy belongs to which entry?
Answer: KRb4As4